1.
LaZnBr | PBE | optimized geometry

**Uncorrected energy**: -3.274 eV/atom
**Calculated volume**: 92.6 Å³ per cell
**ρ**: 5.097 g/cm³
**Formation energy (no corrections)**: -649 meV/atom
**D(E_F)**: 2.819 states/eV/cell

Cell lengths 6.947, 6.948, 3.802 Å; angles 74.11, 74.13, 31.76 degrees
Atoms (fractional coordinates):
Br 0.970 0.970 0.030
Zn 0.696 0.696 0.304
La 0.334 0.334 0.666

***

2.
Eu3Ni | PBE | optimized geometry

**Uncorrected energy**: -8.924 eV/atom
**Calculated volume**: 131.1 Å³ per cell
**E above lowest polymorph**: 247 meV/atom
**ρ**: 6.518 g/cm³
**D(E_F)**: 25.016 states/eV/cell

Cell lengths 4.886, 4.581, 5.856 Å; angles 90.00, 90.00, 90.00 degrees
Site moments in Bohr magnetons follow the coordinates.
Atoms (fractional coordinates):
Eu 0.500 0.500 0.362  6.92
Eu 0.000 0.500 0.879  -6.81
Eu 0.500 0.000 0.893  6.90
Ni 0.000 0.000 0.200  -0.05

***

3.
Y2FeCl | PBE | optimized geometry

**Uncorrected energy**: -6.403 eV/atom
**Calculated volume**: 92.9 Å³ per cell
**E above lowest polymorph**: 44 meV/atom
**ρ**: 4.811 g/cm³
**Formation energy (no corrections)**: -594 meV/atom
**D(E_F)**: 1.529 states/eV/cell

Cell lengths 8.010, 8.010, 8.010 Å; angles 26.92, 26.92, 26.92 degrees
Site moments in Bohr magnetons follow the coordinates.
Atoms (fractional coordinates):
Y 0.011 0.011 0.011  -0.16
Y 0.489 0.489 0.489  -0.16
Cl 0.250 0.250 0.250  0.00
Fe 0.750 0.750 0.750  1.41